[1]
# PBE CuGeB, optimized geometry
# **Calculated density**: 6.36 Mg/m³
# **ΔE_f**: 0.334 eV/atom
# **DOS(E_F)**: 0.8 states/eV/f.u.
# **Spin magnetization**: 0.00 μB per formula unit
# **DFT total energy**: -4.80 eV per atom
data_CuGeB
_cell_length_a 3.921
_cell_length_b 4.350
_cell_length_c 5.014
_cell_angle_alpha 103.54
_cell_angle_beta 111.93
_cell_angle_gamma 90.30
_symmetry_space_group_name_H-M 'P 1'
_symmetry_Int_Tables_number 1
loop_
_symmetry_equiv_pos_as_xyz
'x,y,z'
loop_
_atom_site_label
_atom_site_type_symbol
_atom_site_fract_x
_atom_site_fract_y
_atom_site_fract_z
_atom_site_occupancy
Cu1 Cu 0.000 0.000 0.000 1
Cu2 Cu 0.214 0.437 0.827 1
Ge1 Ge 0.186 0.851 0.502 1
Ge2 Ge 0.621 0.295 0.293 1
B1 B 0.640 0.592 0.698 1
B2 B 0.829 0.523 0.040 1


[2]
# PBE Cu2GeB, optimized geometry
# **Calculated density**: 7.13 Mg/m³
# **Energy above the most stable polymorph in this dataset**: 0.193 eV per atom
# **ΔE_f**: 0.745 eV/atom
# **DOS(E_F)**: 2.4 states/eV/f.u.
# **Spin magnetization**: 0.00 μB per formula unit
# **DFT total energy**: -4.13 eV per atom
data_Cu2GeB
_cell_length_a 4.108
_cell_length_b 4.108
_cell_length_c 4.108
_cell_angle_alpha 60.00
_cell_angle_beta 60.00
_cell_angle_gamma 60.00
_symmetry_space_group_name_H-M 'P 1'
_symmetry_Int_Tables_number 1
loop_
_symmetry_equiv_pos_as_xyz
'x,y,z'
loop_
_atom_site_label
_atom_site_type_symbol
_atom_site_fract_x
_atom_site_fract_y
_atom_site_fract_z
_atom_site_occupancy
Cu1 Cu 0.250 0.250 0.250 1
Cu2 Cu 0.750 0.750 0.750 1
Ge1 Ge 0.000 0.000 0.000 1
B1 B 0.500 0.500 0.500 1


[3]
# PBE CuGeB, optimized geometry
# **Calculated density**: 5.53 Mg/m³
# **ΔE_f**: 0.262 eV/atom
# **DOS(E_F)**: 1.0 states/eV/f.u.
# **Spin magnetization**: 0.00 μB per formula unit
# **DFT total energy**: -4.87 eV per atom
data_CuGeB
_cell_length_a 3.603
_cell_length_b 4.000
_cell_length_c 6.264
_cell_angle_alpha 78.05
_cell_angle_beta 89.97
_cell_angle_gamma 88.56
_symmetry_space_group_name_H-M 'P 1'
_symmetry_Int_Tables_number 1
loop_
_symmetry_equiv_pos_as_xyz
'x,y,z'
loop_
_atom_site_label
_atom_site_type_symbol
_atom_site_fract_x
_atom_site_fract_y
_atom_site_fract_z
_atom_site_occupancy
Cu1 Cu 0.134 0.444 0.327 1
Cu2 Cu 0.866 0.556 0.673 1
Ge1 Ge 0.495 0.030 0.802 1
Ge2 Ge 0.505 0.970 0.198 1
B1 B 0.000 0.065 0.625 1
B2 B 0.000 0.935 0.375 1


[4]
# PBE Cu3GeB, optimized geometry
# **Calculated density**: 5.03 Mg/m³
# **Energy above the most stable polymorph in this dataset**: 1.031 eV per atom
# **ΔE_f**: 1.346 eV/atom
# **DOS(E_F)**: 1.1 states/eV/f.u.
# **Spin magnetization**: 0.00 μB per formula unit
# **DFT total energy**: -3.37 eV per atom
data_Cu3GeB
_cell_length_a 4.488
_cell_length_b 4.488
_cell_length_c 4.488
_cell_angle_alpha 90.00
_cell_angle_beta 90.00
_cell_angle_gamma 90.00
_symmetry_space_group_name_H-M 'P 1'
_symmetry_Int_Tables_number 1
loop_
_symmetry_equiv_pos_as_xyz
'x,y,z'
loop_
_atom_site_label
_atom_site_type_symbol
_atom_site_fract_x
_atom_site_fract_y
_atom_site_fract_z
_atom_site_occupancy
Cu1 Cu 0.000 0.000 0.500 1
Cu2 Cu 0.000 0.500 0.000 1
Cu3 Cu 0.500 0.000 0.000 1
Ge1 Ge 0.000 0.000 0.000 1
B1 B 0.500 0.500 0.500 1


[5]
# PBE CuGeB, optimized geometry
# **Calculated density**: 6.02 Mg/m³
# **ΔE_f**: 0.315 eV/atom
# **DOS(E_F)**: 1.1 states/eV/f.u.
# **Spin magnetization**: 0.00 μB per formula unit
# **DFT total energy**: -4.82 eV per atom
data_CuGeB
_cell_length_a 3.083
_cell_length_b 5.227
_cell_length_c 5.668
_cell_angle_alpha 62.59
_cell_angle_beta 89.98
_cell_angle_gamma 89.94
_symmetry_space_group_name_H-M 'P 1'
_symmetry_Int_Tables_number 1
loop_
_symmetry_equiv_pos_as_xyz
'x,y,z'
loop_
_atom_site_label
_atom_site_type_symbol
_atom_site_fract_x
_atom_site_fract_y
_atom_site_fract_z
_atom_site_occupancy
Cu1 Cu 0.000 0.000 0.000 1
Cu2 Cu 0.500 0.210 0.580 1
Ge1 Ge 0.001 0.907 0.472 1
Ge2 Ge 0.501 0.589 0.109 1
B1 B 0.005 0.449 0.745 1
B2 B 0.505 0.397 0.841 1


[6]
# PBE CuGeB, optimized geometry
# **Calculated density**: 5.96 Mg/m³
# **ΔE_f**: 0.307 eV/atom
# **DOS(E_F)**: 1.0 states/eV/f.u.
# **Spin magnetization**: 0.00 μB per formula unit
# **DFT total energy**: -4.82 eV per atom
data_CuGeB
_cell_length_a 3.070
_cell_length_b 4.027
_cell_length_c 7.184
_cell_angle_alpha 84.70
_cell_angle_beta 89.24
_cell_angle_gamma 67.98
_symmetry_space_group_name_H-M 'P 1'
_symmetry_Int_Tables_number 1
loop_
_symmetry_equiv_pos_as_xyz
'x,y,z'
loop_
_atom_site_label
_atom_site_type_symbol
_atom_site_fract_x
_atom_site_fract_y
_atom_site_fract_z
_atom_site_occupancy
Cu1 Cu 0.000 0.000 0.000 1
Cu2 Cu 0.000 0.000 0.499 1
Ge1 Ge 0.316 0.368 0.668 1
Ge2 Ge 0.683 0.631 0.330 1
B1 B 0.276 0.448 0.964 1
B2 B 0.722 0.552 0.034 1


Please write out number 5 again, unchanged.
# PBE CuGeB, optimized geometry
# **Calculated density**: 6.02 Mg/m³
# **ΔE_f**: 0.315 eV/atom
# **DOS(E_F)**: 1.1 states/eV/f.u.
# **Spin magnetization**: 0.00 μB per formula unit
# **DFT total energy**: -4.82 eV per atom
data_CuGeB
_cell_length_a 3.083
_cell_length_b 5.227
_cell_length_c 5.668
_cell_angle_alpha 62.59
_cell_angle_beta 89.98
_cell_angle_gamma 89.94
_symmetry_space_group_name_H-M 'P 1'
_symmetry_Int_Tables_number 1
loop_
_symmetry_equiv_pos_as_xyz
'x,y,z'
loop_
_atom_site_label
_atom_site_type_symbol
_atom_site_fract_x
_atom_site_fract_y
_atom_site_fract_z
_atom_site_occupancy
Cu1 Cu 0.000 0.000 0.000 1
Cu2 Cu 0.500 0.210 0.580 1
Ge1 Ge 0.001 0.907 0.472 1
Ge2 Ge 0.501 0.589 0.109 1
B1 B 0.005 0.449 0.745 1
B2 B 0.505 0.397 0.841 1


Question: Which formula does entry 4 have?
Answer: Cu3GeB


Question: Among the records above, which one has the highest DFT total energy?
Answer: Cu3GeB